3
Lattice="-1.8090 1.8090 3.9511 1.8090 -1.8090 3.9511 1.8090 1.8090 -3.9511" Properties=species:S:1:pos:R:3 comment="FeSbPt | Alexandria via LeMat-Bulk | PBE | relaxed" spacegroup="No. 107" n_ef_per_ev_fu=2.2 e_form_raw_ev_per_atom=0.036 pbc="T T T"
Fe 0.0000 0.0000 0.0000
Sb 0.0000 0.0000 2.5733
Pt 0.0000 0.0000 5.2350